Record 1
! KTiS2Cl, optimized geometry, DFT GGA-PBE; values from VASP
&SYSTEM
  ibrav = 0, nat = 5, ntyp = 4
/
ATOMIC_SPECIES
Ti 47.87 Ti.upf
Cl 35.45 Cl.upf
S 32.06 S.upf
K 39.10 K.upf
CELL_PARAMETERS angstrom
4.739 0.000 0.000
0.000 4.739 0.000
0.000 0.000 5.097
ATOMIC_POSITIONS crystal
Ti 0.000 0.000 0.000
Cl 0.000 0.000 0.500
S 0.000 0.500 0.000
S 0.500 0.000 0.000
K 0.500 0.500 0.500
! Offset from the most stable computed form (eV per formula unit): 0.00
! Electronic total energy (eV for the cell shown): -25.61

Record 2
! KTiS2Cl, optimized geometry, DFT GGA-PBE; values from VASP
&SYSTEM
  ibrav = 0, nat = 5, ntyp = 4
/
ATOMIC_SPECIES
S 32.06 S.upf
K 39.10 K.upf
Cl 35.45 Cl.upf
Ti 47.87 Ti.upf
CELL_PARAMETERS angstrom
-4.150 -0.850 3.125
1.675 -4.911 0.889
2.772 1.696 4.143
ATOMIC_POSITIONS crystal
S 0.500 0.000 0.000
S 0.000 0.500 0.000
K 0.000 0.000 0.000
Cl 0.000 0.000 0.500
Ti 0.500 0.500 0.500
! Offset from the most stable computed form (eV per formula unit): 10.55
! Electronic total energy (eV for the cell shown): -15.06

Record 3
! KTl2SCl, optimized geometry, DFT GGA-PBE; values from VASP
&SYSTEM
  ibrav = 0, nat = 10, ntyp = 4
/
ATOMIC_SPECIES
K 39.10 K.upf
Cl 35.45 Cl.upf
Tl 204.38 Tl.upf
S 32.06 S.upf
CELL_PARAMETERS angstrom
4.195 0.000 0.000
0.000 10.387 0.396
0.000 -1.817 7.699
ATOMIC_POSITIONS crystal
K 0.250 0.685 0.030
K 0.750 0.315 0.970
Cl 0.750 0.548 0.774
Cl 0.250 0.452 0.226
Tl 0.750 0.971 0.707
Tl 0.250 0.696 0.507
Tl 0.750 0.304 0.493
Tl 0.250 0.029 0.293
S 0.750 0.842 0.326
S 0.250 0.158 0.674
! Electronic total energy (eV for the cell shown): -32.52

| no. | raw formation energy (eV per atom) |
| --- | --- |
| 1 | -1.3034 |
| 2 | 0.8073 |
| 3 | -0.8911 |